# 1
Below is a relaxed structure of LiGa2Co2, with properties calculated at the PBEsol level.

Results
Energy of formation from the pure elements in eV per atom: -0.254
Space-group type: P4/mbm
DFT total energy in eV per atom: -5.078
ρ in g/cm3: 7.01

a = 2.6812 Å, b = 6.8310 Å, c = 6.8310 Å
α = 90.00°, β = 90.00°, γ = 90.00°
Element x y z (fractional)
Ga 0.0000 0.6496 0.1496
Ga 0.0000 0.3504 0.8504
Ga 0.0000 0.8504 0.6496
Ga 0.0000 0.1496 0.3504
Co 0.5000 0.1467 0.6467
Co 0.5000 0.8533 0.3533
Co 0.5000 0.6467 0.8533
Co 0.5000 0.3533 0.1467
Li 0.0000 0.5000 0.5000
Li 0.0000 0.0000 0.0000


# 2
Below is a relaxed structure of Lu3Ga5Co, with properties calculated at the PBEsol level.

Results
Energy of formation from the pure elements in eV per atom: -0.672
Space-group type: P-62m
DFT total energy in eV per atom: -5.012
ρ in g/cm3: 9.79

a = 4.0825 Å, b = 6.6890 Å, c = 6.6890 Å
α = 120.00°, β = 90.00°, γ = 90.00°
Element x y z (fractional)
Ga 0.5000 0.6667 0.3333
Ga 0.5000 0.7669 0.7669
Ga 0.5000 0.0000 0.2331
Ga 0.5000 0.2331 0.0000
Ga 0.5000 0.3333 0.6667
Co 0.0000 0.0000 0.0000
Lu 0.0000 0.5965 0.0000
Lu 0.0000 0.0000 0.5965
Lu 0.0000 0.4035 0.4035


# 3
Below is a relaxed structure of Lu2Ga3Co, with properties calculated at the PBEsol level.

Results
Energy of formation from the pure elements in eV per atom: -0.591
Space-group type: P6_3/mmc
DFT total energy in eV per atom: -5.175
ρ in g/cm3: 10.27

a = 5.3039 Å, b = 5.3039 Å, c = 8.2055 Å
α = 90.00°, β = 90.00°, γ = 120.00°
Element x y z (fractional)
Co 0.0000 0.0000 0.0000
Co 0.0000 0.0000 0.5000
Lu 0.3333 0.6667 0.0531
Lu 0.3333 0.6667 0.4469
Lu 0.6667 0.3333 0.5531
Lu 0.6667 0.3333 0.9469
Ga 0.3273 0.1636 0.2500
Ga 0.1636 0.8364 0.7500
Ga 0.6727 0.8364 0.7500
Ga 0.1636 0.3273 0.7500
Ga 0.8364 0.1636 0.2500
Ga 0.8364 0.6727 0.2500


# 4
Below is a relaxed structure of Lu2Ga9Co3, with properties calculated at the PBEsol level.

Results
Energy of formation from the pure elements in eV per atom: -0.535
Space-group type: Cmcm
DFT total energy in eV per atom: -5.035
ρ in g/cm3: 9.28

a = 7.1998 Å, b = 7.1998 Å, c = 9.1814 Å
α = 90.00°, β = 90.00°, γ = 119.77°
Element x y z (fractional)
Ga 0.3326 0.3326 0.5604
Ga 0.6634 0.4474 0.7500
Ga 0.6674 0.6674 0.0604
Ga 0.6674 0.6674 0.4396
Ga 0.3326 0.3326 0.9396
Ga 0.6657 0.0009 0.5732
Ga 0.5526 0.3366 0.2500
Ga 0.0009 0.6657 0.5732
Ga 0.6657 0.0009 0.9268
Ga 0.1193 0.1193 0.2500
Ga 0.9991 0.3343 0.0732
Ga 0.3343 0.9991 0.4268
Ga 0.4474 0.6634 0.7500
Ga 0.9991 0.3343 0.4268
Ga 0.3343 0.9991 0.0732
Ga 0.3366 0.5526 0.2500
Ga 0.8807 0.8807 0.7500
Ga 0.0009 0.6657 0.9268
Co 0.0000 0.0000 0.0000
Co 0.6712 0.3288 0.0000
Co 0.0000 0.0000 0.5000
Co 0.3288 0.6712 0.0000
Co 0.6712 0.3288 0.5000
Co 0.3288 0.6712 0.5000
Lu 0.3313 0.0028 0.7500
Lu 0.0028 0.3313 0.7500
Lu 0.9972 0.6687 0.2500
Lu 0.6687 0.9972 0.2500


# 5
Below is a relaxed structure of Mg3Ga7Co2, with properties calculated at the PBEsol level.

Results
Energy of formation from the pure elements in eV per atom: -0.278
Space-group type: C2/c
DFT total energy in eV per atom: -3.945
ρ in g/cm3: 5.83

a = 6.4693 Å, b = 6.4693 Å, c = 9.2615 Å
α = 92.51°, β = 92.51°, γ = 92.30°
Element x y z (fractional)
Ga 0.8089 0.9446 0.0265
Ga 0.8894 0.5541 0.1020
Ga 0.5666 0.3061 0.9820
Ga 0.7719 0.2281 0.2500
Ga 0.4459 0.1106 0.3980
Ga 0.1911 0.0554 0.9735
Ga 0.5541 0.8894 0.6020
Ga 0.9446 0.8089 0.5265
Ga 0.0554 0.1911 0.4735
Ga 0.3061 0.5666 0.4820
Ga 0.2281 0.7719 0.7500
Ga 0.6939 0.4334 0.5180
Ga 0.1106 0.4459 0.8980
Ga 0.4334 0.6939 0.0180
Mg 0.6374 0.7440 0.3032
Mg 0.1463 0.8537 0.2500
Mg 0.8537 0.1463 0.7500
Mg 0.3626 0.2560 0.6968
Mg 0.7440 0.6374 0.8032
Mg 0.2560 0.3626 0.1968
Co 0.4842 0.0313 0.1444
Co 0.5158 0.9687 0.8556
Co 0.9687 0.5158 0.3556
Co 0.0313 0.4842 0.6444


# 6
Below is a relaxed structure of MgGaCo3, with properties calculated at the PBEsol level.

Results
Energy of formation from the pure elements in eV per atom: 1.464
Space-group type: Pm-3m
DFT total energy in eV per atom: -4.190
ρ in g/cm3: 5.90

a = 4.2390 Å, b = 4.2390 Å, c = 4.2390 Å
α = 90.00°, β = 90.00°, γ = 90.00°
Last column: magnetic moment on the atom in μB.
Element x y z (fractional)
Mg 0.0000 0.0000 0.0000  -0.06
Co 0.0000 0.0000 0.5000  1.31
Co 0.0000 0.5000 0.0000  1.31
Co 0.5000 0.0000 0.0000  1.31
Ga 0.5000 0.5000 0.5000  -0.05